[1]
First-principles (PBE) data for an optimized crystal structure of CdRh2Pb, as listed in Alexandria.

a b c (Å): 3.136 3.136 8.062
angles (deg): 90.00 90.00 90.00
Fractional coordinates of all 4 atoms:
Cd  0.000  0.000  0.000
Rh  0.000  0.000  0.595
Rh  0.500  0.500  0.783
Pb  0.500  0.500  0.353

Values from the calculation:
The value obtained for the density of states at the Fermi level is 0.78 states/eV per atom. The crystal system is tetragonal. Its total energy is -4.715 eV/atom. The formation energy is 117 meV/atom.



[2]
First-principles (PBE) data for an optimized crystal structure of FeCoBr2, as listed in Alexandria.

a b c (Å): 7.581 7.581 7.581
angles (deg): 154.14 151.93 38.53
Fractional coordinates of all 4 atoms:
Fe  0.000  0.000  0.000
Co  0.887  0.387  0.500
Br  0.345  0.845  0.500
Br  0.585  0.585  0.000

Values from the calculation:
The value obtained for the density of states at the Fermi level is 0.91 states/eV per atom. The crystal system is orthorhombic. Its total energy is -4.487 eV/atom.



[3]
First-principles (PBE) data for an optimized crystal structure of CsLiPu2Cl8, as listed in Alexandria.

a b c (Å): 6.858 8.716 6.907
angles (deg): 90.00 98.94 90.00
Fractional coordinates of all 12 atoms:
Cs  0.000  0.000  0.000
Li  0.000  0.500  0.000
Pu  0.500  0.261  0.500
Pu  0.500  0.739  0.500
Cl  0.165  0.300  0.250
Cl  0.165  0.700  0.250
Cl  0.366  0.500  0.705
Cl  0.390  0.000  0.701
Cl  0.610  0.000  0.299
Cl  0.634  0.500  0.295
Cl  0.835  0.300  0.750
Cl  0.835  0.700  0.750

Values from the calculation:
The value obtained for the density of states at the Fermi level is 1.74 states/eV per atom. The crystal system is monoclinic. Its total energy is -5.710 eV/atom.



What did the second record say?
First-principles (PBE) data for an optimized crystal structure of FeCoBr2, as listed in Alexandria.

a b c (Å): 7.581 7.581 7.581
angles (deg): 154.14 151.93 38.53
Fractional coordinates of all 4 atoms:
Fe  0.000  0.000  0.000
Co  0.887  0.387  0.500
Br  0.345  0.845  0.500
Br  0.585  0.585  0.000

Values from the calculation:
The value obtained for the density of states at the Fermi level is 0.91 states/eV per atom. The crystal system is orthorhombic. Its total energy is -4.487 eV/atom.